Record 1
DyYCuNi, optimized geometry, DFT PBE; E_form = -1.26 eV per formula unit; density = 7.70 g/cm3; relative energy among the computed polymorphs = 0.042 eV per atom; E = -0.204 Ha/atom
1.0
-3.662 1.663 -2.706
-4.581 -0.820 1.355
-2.741 3.657 1.615
Y Ni Cu Dy
1 1 1 1
direct
0.750 0.750 0.750
0.500 0.500 0.500
0.000 0.000 0.000
0.250 0.250 0.250

Record 2
Pr2Ga3Au, optimized geometry, DFT PBE; E_form = -4.19 eV per formula unit; density = 8.04 g/cm3; relative energy among the computed polymorphs = 0.011 eV per atom; E = -0.160 Ha/atom
1.0
-3.800 0.721 -1.485
0.730 -2.883 -3.267
-1.281 -4.645 6.799
Pr Ga Au
2 3 1
direct
0.130 0.130 0.261
0.869 0.369 0.738
0.706 0.706 0.413
0.544 0.544 0.088
0.292 0.792 0.584
0.458 0.958 0.917

Record 3
La2ReBr, optimized geometry, DFT PBE; density = 6.09 g/cm3; formation energy without anion corrections = -0.633 eV per formula unit; relative energy among the computed polymorphs = 0.360 eV per atom; E = -0.226 Ha/atom
1.0
-1.577 6.820 -0.522
-1.304 -0.825 -6.848
-7.199 1.762 -2.440
Re Br La
2 2 4
direct
0.000 0.000 0.000
0.750 0.250 0.500
0.500 0.500 0.000
0.250 0.750 0.500
0.698 0.125 0.250
0.052 0.625 0.250
0.375 0.302 0.750
0.875 0.948 0.750

Question: What is the relative energy among the computed polymorphs in the second record?
Answer: 0.011 eV per atom